Entry 1:
## ScSi7Ir3 (PBE-GGA)

Data for crystalline ScSi7Ir3 at its relaxed geometry.

Values from the calculation:
Space-group type: R-3c, No. 167
DFT total energy (eV per atom): -7.13

CIF file:
```
data_ScSi7Ir3
_space_group_name_H-M_alt 'P 1'
_space_group_IT_number 1
_space_group_name_Hall 'P 1'
_cell_length_a 7.5588
_cell_length_b 7.5588
_cell_length_c 7.9803
_cell_angle_alpha 90.00
_cell_angle_beta 118.27
_cell_angle_gamma 60.00
loop_
_atom_site_label
_atom_site_type_symbol
_atom_site_fract_x
_atom_site_fract_y
_atom_site_fract_z
Si1 Si 0.7374 0.4348 0.0880
Si2 Si 0.4772 0.8505 0.4120
Si3 Si 0.0842 0.3505 0.9120
Si4 Si 0.5228 0.1495 0.5880
Si5 Si 0.4772 0.1722 0.9120
Si6 Si 0.2626 0.6722 0.4120
Si7 Si 0.2626 0.5652 0.9120
Si8 Si 0.0842 0.0652 0.4120
Si9 Si 0.5000 0.7500 0.7500
Si10 Si 0.9158 0.6495 0.0880
Si11 Si 0.9158 0.9348 0.5880
Si12 Si 0.5000 0.2500 0.2500
Si13 Si 0.7374 0.3278 0.5880
Si14 Si 0.5228 0.8278 0.0880
Sc1 Sc 0.0000 0.0000 0.0000
Sc2 Sc 0.0000 0.5000 0.5000
Ir1 Ir 0.8230 0.9270 0.2500
Ir2 Ir 0.5000 0.4270 0.7500
Ir3 Ir 0.1770 0.0730 0.7500
Ir4 Ir 0.8230 0.7500 0.7500
Ir5 Ir 0.1770 0.2500 0.2500
Ir6 Ir 0.5000 0.5730 0.2500
```


Entry 2:
## Sc5Si10Ir4 (PBE-GGA)

Data for crystalline Sc5Si10Ir4 at its relaxed geometry.

Values from the calculation:
Space-group type: P4/mbm, No. 127
DFT total energy (eV per atom): -7.24

CIF file:
```
data_Sc5Si10Ir4
_space_group_name_H-M_alt 'P 1'
_space_group_IT_number 1
_space_group_name_Hall 'P 1'
_cell_length_a 12.3982
_cell_length_b 12.3982
_cell_length_c 4.0943
_cell_angle_alpha 90.00
_cell_angle_beta 90.00
_cell_angle_gamma 90.00
loop_
_atom_site_label
_atom_site_type_symbol
_atom_site_fract_x
_atom_site_fract_y
_atom_site_fract_z
Si1 Si 0.3484 0.4945 0.5000
Si2 Si 0.8484 0.0055 0.5000
Si3 Si 0.0659 0.4341 0.0000
Si4 Si 0.8001 0.8340 0.0000
Si5 Si 0.1999 0.1660 0.0000
Si6 Si 0.6999 0.3340 0.0000
Si7 Si 0.4945 0.6516 0.5000
Si8 Si 0.6516 0.5055 0.5000
Si9 Si 0.5055 0.3484 0.5000
Si10 Si 0.4341 0.9341 0.0000
Si11 Si 0.1516 0.9945 0.5000
Si12 Si 0.9341 0.5659 0.0000
Si13 Si 0.5659 0.0659 0.0000
Si14 Si 0.8340 0.1999 0.0000
Si15 Si 0.1660 0.8001 0.0000
Si16 Si 0.3340 0.3001 0.0000
Si17 Si 0.9945 0.8484 0.5000
Si18 Si 0.3001 0.6660 0.0000
Si19 Si 0.0055 0.1516 0.5000
Si20 Si 0.6660 0.6999 0.0000
Sc1 Sc 0.8265 0.6735 0.5000
Sc2 Sc 0.3265 0.8265 0.5000
Sc3 Sc 0.3834 0.1166 0.5000
Sc4 Sc 0.5000 0.5000 0.0000
Sc5 Sc 0.6166 0.8834 0.5000
Sc6 Sc 0.0000 0.0000 0.0000
Sc7 Sc 0.8834 0.3834 0.5000
Sc8 Sc 0.1735 0.3265 0.5000
Sc9 Sc 0.1166 0.6166 0.5000
Sc10 Sc 0.6735 0.1735 0.5000
Ir1 Ir 0.4810 0.7466 0.0000
Ir2 Ir 0.7534 0.0190 0.0000
Ir3 Ir 0.5190 0.2534 0.0000
Ir4 Ir 0.7466 0.5190 0.0000
Ir5 Ir 0.2466 0.9810 0.0000
Ir6 Ir 0.2534 0.4810 0.0000
Ir7 Ir 0.0190 0.2466 0.0000
Ir8 Ir 0.9810 0.7534 0.0000
```


Entry 3:
## ScSi2Ir (PBE-GGA)

Data for crystalline ScSi2Ir at its relaxed geometry.

Values from the calculation:
Space-group type: Pnma, No. 62
DFT total energy (eV per atom): -7.40

CIF file:
```
data_ScSi2Ir
_space_group_name_H-M_alt 'P 1'
_space_group_IT_number 1
_space_group_name_Hall 'P 1'
_cell_length_a 6.3552
_cell_length_b 4.0623
_cell_length_c 9.5718
_cell_angle_alpha 90.00
_cell_angle_beta 90.00
_cell_angle_gamma 90.00
loop_
_atom_site_label
_atom_site_type_symbol
_atom_site_fract_x
_atom_site_fract_y
_atom_site_fract_z
Ir1 Ir 0.5884 0.2500 0.4022
Ir2 Ir 0.4116 0.7500 0.5978
Ir3 Ir 0.9116 0.7500 0.9022
Ir4 Ir 0.0884 0.2500 0.0978
Si1 Si 0.7300 0.2500 0.9749
Si2 Si 0.2700 0.7500 0.0251
Si3 Si 0.5386 0.7500 0.8393
Si4 Si 0.0386 0.7500 0.6607
Si5 Si 0.4614 0.2500 0.1607
Si6 Si 0.9614 0.2500 0.3393
Si7 Si 0.7700 0.7500 0.4749
Si8 Si 0.2300 0.2500 0.5251
Sc1 Sc 0.7363 0.2500 0.6856
Sc2 Sc 0.2363 0.2500 0.8144
Sc3 Sc 0.2637 0.7500 0.3144
Sc4 Sc 0.7637 0.7500 0.1856
```


Entry 4:
## ScSi2Ir (PBE-GGA)

Data for crystalline ScSi2Ir at its relaxed geometry.

Values from the calculation:
Space-group type: F-43m, No. 216
DFT total energy (eV per atom): -6.88

CIF file:
```
data_ScSi2Ir
_space_group_name_H-M_alt 'P 1'
_space_group_IT_number 1
_space_group_name_Hall 'P 1'
_cell_length_a 4.4546
_cell_length_b 4.4546
_cell_length_c 4.4546
_cell_angle_alpha 60.00
_cell_angle_beta 60.00
_cell_angle_gamma 60.00
loop_
_atom_site_label
_atom_site_type_symbol
_atom_site_fract_x
_atom_site_fract_y
_atom_site_fract_z
Sc1 Sc 0.5000 0.5000 0.5000
Ir1 Ir 0.2500 0.2500 0.2500
Si1 Si 0.0000 0.0000 0.0000
Si2 Si 0.7500 0.7500 0.7500
```


Entry 5:
## Sc3Si3Ir (PBE-GGA)

Data for crystalline Sc3Si3Ir at its relaxed geometry.

Values from the calculation:
Space-group type: Pnma, No. 62
DFT total energy (eV per atom): -7.29

CIF file:
```
data_Sc3Si3Ir
_space_group_name_H-M_alt 'P 1'
_space_group_IT_number 1
_space_group_name_Hall 'P 1'
_cell_length_a 11.6511
_cell_length_b 4.0434
_cell_length_c 10.1967
_cell_angle_alpha 90.00
_cell_angle_beta 90.00
_cell_angle_gamma 90.00
loop_
_atom_site_label
_atom_site_type_symbol
_atom_site_fract_x
_atom_site_fract_y
_atom_site_fract_z
Sc1 Sc 0.8980 0.7500 0.4202
Sc2 Sc 0.2997 0.2500 0.8411
Sc3 Sc 0.7997 0.2500 0.6589
Sc4 Sc 0.4804 0.7500 0.3771
Sc5 Sc 0.7003 0.7500 0.1589
Sc6 Sc 0.3980 0.7500 0.0798
Sc7 Sc 0.5196 0.2500 0.6229
Sc8 Sc 0.0196 0.2500 0.8771
Sc9 Sc 0.2003 0.7500 0.3411
Sc10 Sc 0.9804 0.7500 0.1229
Sc11 Sc 0.1020 0.2500 0.5798
Sc12 Sc 0.6020 0.2500 0.9202
Ir1 Ir 0.3234 0.7500 0.6107
Ir2 Ir 0.8234 0.7500 0.8893
Ir3 Ir 0.6766 0.2500 0.3893
Ir4 Ir 0.1766 0.2500 0.1107
Si1 Si 0.1578 0.7500 0.7507
Si2 Si 0.6783 0.7500 0.5140
Si3 Si 0.4546 0.7500 0.8077
Si4 Si 0.3217 0.2500 0.4860
Si5 Si 0.9546 0.7500 0.6923
Si6 Si 0.3422 0.2500 0.2507
Si7 Si 0.1783 0.7500 0.9860
Si8 Si 0.5454 0.2500 0.1923
Si9 Si 0.8217 0.2500 0.0140
Si10 Si 0.0454 0.2500 0.3077
Si11 Si 0.6578 0.7500 0.7493
Si12 Si 0.8422 0.2500 0.2493
```


Entry 6:
## Sc4Si6Ir7 (PBE-GGA)

Data for crystalline Sc4Si6Ir7 at its relaxed geometry.

Values from the calculation:
Space-group type: Im-3m, No. 229
DFT total energy (eV per atom): -8.10

CIF file:
```
data_Sc4Si6Ir7
_space_group_name_H-M_alt 'P 1'
_space_group_IT_number 1
_space_group_name_Hall 'P 1'
_cell_length_a 6.9869
_cell_length_b 6.9869
_cell_length_c 6.9869
_cell_angle_alpha 109.47
_cell_angle_beta 109.47
_cell_angle_gamma 109.47
loop_
_atom_site_label
_atom_site_type_symbol
_atom_site_fract_x
_atom_site_fract_y
_atom_site_fract_z
Si1 Si 0.3168 0.3168 0.0000
Si2 Si 0.0000 0.6832 0.6832
Si3 Si 0.3168 0.0000 0.3168
Si4 Si 0.6832 0.0000 0.6832
Si5 Si 0.6832 0.6832 0.0000
Si6 Si 0.0000 0.3168 0.3168
Sc1 Sc 0.5000 0.0000 0.0000
Sc2 Sc 0.5000 0.5000 0.5000
Sc3 Sc 0.0000 0.0000 0.5000
Sc4 Sc 0.0000 0.5000 0.0000
Ir1 Ir 0.7500 0.2500 0.5000
Ir2 Ir 0.7500 0.5000 0.2500
Ir3 Ir 0.2500 0.7500 0.5000
Ir4 Ir 0.2500 0.5000 0.7500
Ir5 Ir 0.5000 0.2500 0.7500
Ir6 Ir 0.5000 0.7500 0.2500
Ir7 Ir 0.0000 0.0000 0.0000
```


Entry 7:
## SmScIr (PBE-GGA)

Data for crystalline SmScIr at its relaxed geometry.

Values from the calculation:
DFT formation energy (meV per atom): 5
Energy relative to the lowest polymorph listed for this composition (meV/atom): 0
Space-group type: F-43m, No. 216
DFT total energy (eV per atom): -6.63

CIF file:
```
data_SmScIr
_space_group_name_H-M_alt 'P 1'
_space_group_IT_number 1
_space_group_name_Hall 'P 1'
_cell_length_a 4.5713
_cell_length_b 4.5713
_cell_length_c 4.5713
_cell_angle_alpha 60.00
_cell_angle_beta 60.00
_cell_angle_gamma 60.00
loop_
_atom_site_label
_atom_site_type_symbol
_atom_site_fract_x
_atom_site_fract_y
_atom_site_fract_z
Sc1 Sc 0.0000 0.0000 0.0000
Ir1 Ir 0.2500 0.2500 0.2500
Sm1 Sm 0.7500 0.7500 0.7500
```


Entry 8:
## SmScIr (PBE-GGA)

Data for crystalline SmScIr at its relaxed geometry.

Values from the calculation:
DFT formation energy (meV per atom): 274
Energy relative to the lowest polymorph listed for this composition (meV/atom): 269
Space-group type: F-43m, No. 216
DFT total energy (eV per atom): -6.36

CIF file:
```
data_SmScIr
_space_group_name_H-M_alt 'P 1'
_space_group_IT_number 1
_space_group_name_Hall 'P 1'
_cell_length_a 4.6464
_cell_length_b 4.6464
_cell_length_c 4.6464
_cell_angle_alpha 60.00
_cell_angle_beta 60.00
_cell_angle_gamma 60.00
loop_
_atom_site_label
_atom_site_type_symbol
_atom_site_fract_x
_atom_site_fract_y
_atom_site_fract_z
Ir1 Ir 0.2500 0.2500 0.2500
Sc1 Sc 0.7500 0.7500 0.7500
Sm1 Sm 0.0000 0.0000 0.0000
```


Entry 9:
## Sc2SnIr (PBE-GGA)

Data for crystalline Sc2SnIr at its relaxed geometry.

Values from the calculation:
Space-group type: F-43m, No. 216
DFT total energy (eV per atom): -6.94

CIF file:
```
data_Sc2SnIr
_space_group_name_H-M_alt 'P 1'
_space_group_IT_number 1
_space_group_name_Hall 'P 1'
_cell_length_a 4.7264
_cell_length_b 4.7264
_cell_length_c 4.7264
_cell_angle_alpha 60.00
_cell_angle_beta 60.00
_cell_angle_gamma 60.00
loop_
_atom_site_label
_atom_site_type_symbol
_atom_site_fract_x
_atom_site_fract_y
_atom_site_fract_z
Sn1 Sn 0.5000 0.5000 0.5000
Sc1 Sc 0.0000 0.0000 0.0000
Sc2 Sc 0.7500 0.7500 0.7500
Ir1 Ir 0.2500 0.2500 0.2500
```


Entry 10:
## SrScIr (PBE-GGA)

Data for crystalline SrScIr at its relaxed geometry.

Values from the calculation:
Energy relative to the lowest polymorph listed for this composition (meV/atom): 0
Space-group type: F-43m, No. 216
DFT total energy (eV per atom): -5.86

CIF file:
```
data_SrScIr
_space_group_name_H-M_alt 'P 1'
_space_group_IT_number 1
_space_group_name_Hall 'P 1'
_cell_length_a 4.7955
_cell_length_b 4.7955
_cell_length_c 4.7955
_cell_angle_alpha 60.00
_cell_angle_beta 60.00
_cell_angle_gamma 60.00
loop_
_atom_site_label
_atom_site_type_symbol
_atom_site_fract_x
_atom_site_fract_y
_atom_site_fract_z
Sc1 Sc 0.2500 0.2500 0.2500
Sr1 Sr 0.7500 0.7500 0.7500
Ir1 Ir 0.0000 0.0000 0.0000
```